Record 1
# GGA-PBE PmZrNpN3, relaxed
# - VASP energy: -57.50 eV/f.u.
# - Magnetic moment: 2.467 μB/cell
data_PmZrNpN3
_symmetry_space_group_name_H-M 'P 1 21/m 1'
_symmetry_Int_Tables_number 11
_cell_length_a 6.876
_cell_length_b 3.477
_cell_length_c 9.008
_cell_angle_alpha 90.00
_cell_angle_beta 101.80
_cell_angle_gamma 90.00
loop_
_symmetry_equiv_pos_as_xyz
'x,y,z'
'-x,-y,-z'
'-x,y+1/2,-z'
'x,-y+1/2,z'
loop_
_atom_site_label
_atom_site_fract_x
_atom_site_fract_y
_atom_site_fract_z
_atom_site_occupancy
Pm1 0.172 0.250 0.137 1
Zr1 0.354 0.750 0.867 1
Np1 0.051 0.250 0.599 1
N1 0.108 0.250 0.857 1
N2 0.240 0.750 0.621 1
N3 0.422 0.750 0.121 1

Record 2
# GGA-PBE Pr5NpN6, relaxed
# - VASP energy: -102.40 eV/f.u.
# - Magnetic moment: 3.424 μB/cell
data_Pr5NpN6
_symmetry_space_group_name_H-M 'C 1 2/m 1'
_symmetry_Int_Tables_number 12
_cell_length_a 6.290
_cell_length_b 10.876
_cell_length_c 6.273
_cell_angle_alpha 90.00
_cell_angle_beta 109.52
_cell_angle_gamma 90.00
loop_
_symmetry_equiv_pos_as_xyz
'x,y,z'
'-x,-y,-z'
'-x,y,-z'
'x,-y,z'
'x+1/2,y+1/2,z'
'-x+1/2,-y+1/2,-z'
'-x+1/2,y+1/2,-z'
'x+1/2,-y+1/2,z'
loop_
_atom_site_label
_atom_site_fract_x
_atom_site_fract_y
_atom_site_fract_z
_atom_site_occupancy
Pr1 0.000 0.000 0.000 1
Pr2 0.000 0.166 0.500 1
Pr3 0.000 0.334 0.000 1
Np1 0.000 0.500 0.500 1
N1 0.222 0.353 0.724 1
N2 0.222 0.500 0.269 1

Record 3
# GGA-PBE Pr2NpN4, relaxed
# - VASP energy: -64.82 eV/f.u.
# - Magnetic moment: 2.018 μB/cell
# - Relative energy among the computed polymorphs: 0.0000 eV per atom
data_Pr2NpN4
_symmetry_space_group_name_H-M 'P b a m'
_symmetry_Int_Tables_number 55
_cell_length_a 6.069
_cell_length_b 10.031
_cell_length_c 3.606
_cell_angle_alpha 90.00
_cell_angle_beta 90.00
_cell_angle_gamma 90.00
loop_
_symmetry_equiv_pos_as_xyz
'x,y,z'
'-x,-y,-z'
'-x,-y,z'
'x,y,-z'
'x+1/2,-y+1/2,-z'
'-x+1/2,y+1/2,z'
'-x+1/2,y+1/2,-z'
'x+1/2,-y+1/2,z'
loop_
_atom_site_label
_atom_site_fract_x
_atom_site_fract_y
_atom_site_fract_z
_atom_site_occupancy
Pr1 0.068 0.177 0.000 1
Np1 0.000 0.500 0.500 1
N1 0.134 0.686 0.500 1
N2 0.219 0.453 0.000 1

Record 4
# GGA-PBE Pr4NpN5, relaxed
# - VASP energy: -86.56 eV/f.u.
# - Magnetic moment: 4.983 μB/cell
data_Pr4NpN5
_symmetry_space_group_name_H-M 'I 4/m'
_symmetry_Int_Tables_number 87
_symmetry_space_group_name_Hall '-I 4'
_cell_length_a 8.092
_cell_length_b 8.092
_cell_length_c 5.144
_cell_angle_alpha 90.00
_cell_angle_beta 90.00
_cell_angle_gamma 90.00
loop_
_atom_site_label
_atom_site_fract_x
_atom_site_fract_y
_atom_site_fract_z
_atom_site_occupancy
Pr1 0.100 0.702 0.000 1
Np1 0.000 0.000 0.500 1
N1 0.000 0.000 0.000 1
N2 0.090 0.733 0.500 1

Q: Which value of magnetic moment does entry 4 give?
A: 4.983 μB/cell